[1]
YHoTm2P4 GGA-PBE optimized geometry; formation enthalpy at 0 K = -1.61 eV per atom
1.0
6.882 0.000 0.000
0.000 3.976 0.000
-2.294 0.000 6.490
Y Ho Tm P
1 1 2 4
Direct
0.000 0.000 0.000
0.000 0.500 0.500
0.500 0.000 0.500
0.500 0.500 0.000
0.253 0.000 0.750
0.254 0.500 0.252
0.746 0.500 0.748
0.747 0.000 0.250

***

[2]
CaPm2Dy3 GGA-PBE optimized geometry; formation enthalpy at 0 K = 0.22 eV per atom
1.0
6.727 0.000 0.000
-3.363 5.825 0.000
0.000 0.000 10.827
Ca Pm Dy
2 4 6
Direct
0.333 0.667 0.436
0.667 0.333 0.564
0.000 0.000 0.000
0.000 0.000 0.500
0.333 0.667 0.074
0.667 0.333 0.926
0.169 0.339 0.759
0.169 0.831 0.759
0.339 0.169 0.241
0.661 0.831 0.759
0.831 0.169 0.241
0.831 0.661 0.241

***

[3]
Rb2PdF8 GGA-PBE optimized geometry; formation energy (no corrections) = -161 kJ/mol of atoms
1.0
5.790 -4.133 0.000
5.790 4.133 0.000
-2.199 0.000 4.834
Rb Pd F
2 1 8
Direct
0.181 0.181 0.301
0.819 0.819 0.699
0.500 0.500 0.000
0.066 0.066 0.687
0.222 0.550 0.769
0.407 0.407 0.224
0.450 0.778 0.231
0.550 0.222 0.769
0.593 0.593 0.776
0.778 0.450 0.231
0.934 0.934 0.313

***

[4]
SrMg2Ir GGA-PBE optimized geometry; formation enthalpy at 0 K = -0.14 eV per atom
1.0
12.202 0.000 0.000
0.000 3.309 0.000
-2.266 0.000 4.766
Sr Mg Ir
2 4 2
Direct
0.000 0.000 0.000
0.500 0.500 0.000
0.193 0.000 0.691
0.307 0.500 0.309
0.693 0.500 0.691
0.807 0.000 0.309
0.000 0.500 0.500
0.500 0.000 0.500

***

[5]
YN2Cl GGA-PBE optimized geometry; energy above the lowest structure with this stoichiometry = 0.635 eV per atom; formation energy (no corrections) = 70 kJ/mol of atoms
1.0
6.148 0.000 0.000
0.000 6.148 0.000
0.000 0.000 6.148
Y N Cl
4 8 4
Direct
0.000 0.000 0.000
0.000 0.500 0.500
0.500 0.000 0.500
0.500 0.500 0.000
0.250 0.250 0.250
0.250 0.250 0.750
0.250 0.750 0.250
0.250 0.750 0.750
0.750 0.250 0.250
0.750 0.250 0.750
0.750 0.750 0.250
0.750 0.750 0.750
0.000 0.000 0.500
0.000 0.500 0.000
0.500 0.000 0.000
0.500 0.500 0.500

***

[6]
Ta3CdSb GGA-PBE optimized geometry; energy above the lowest structure with this stoichiometry = 0.254 eV per atom; formation energy (no corrections) = 193 kJ/mol of atoms
1.0
4.988 0.000 0.000
0.000 4.988 0.000
0.000 0.000 4.988
Ta Cd Sb
3 1 1
Direct
0.000 0.000 0.500
0.000 0.500 0.000
0.500 0.000 0.000
0.000 0.000 0.000
0.500 0.500 0.500

***

[7]
GaAu2Br GGA-PBE optimized geometry; energy above the lowest structure with this stoichiometry = 0.000 eV per atom; formation energy (no corrections) = 1 kJ/mol of atoms
1.0
6.910 0.000 0.000
0.000 6.910 0.000
0.000 0.000 8.413
Ga Au Br
4 8 4
Direct
0.000 0.000 0.000
0.000 0.500 0.250
0.500 0.000 0.750
0.500 0.500 0.500
0.213 0.750 0.125
0.250 0.213 0.875
0.250 0.287 0.375
0.287 0.750 0.625
0.713 0.250 0.625
0.750 0.713 0.375
0.750 0.787 0.875
0.787 0.250 0.125
0.000 0.000 0.500
0.000 0.500 0.750
0.500 0.000 0.250
0.500 0.500 0.000

***

[8]
Cu3BPt6 GGA-PBE optimized geometry; formation enthalpy at 0 K = -0.10 eV per atom
1.0
8.130 0.000 0.000
0.000 9.864 0.000
0.000 0.000 3.549
Cu B Pt
6 2 12
Direct
0.000 0.000 0.000
0.169 0.160 0.500
0.331 0.660 0.000
0.500 0.500 0.500
0.669 0.340 0.000
0.831 0.840 0.500
0.000 0.500 0.000
0.500 0.000 0.500
0.001 0.295 0.000
0.167 0.513 0.500
0.167 0.853 0.500
0.333 0.013 0.000
0.333 0.353 0.000
0.499 0.795 0.500
0.501 0.205 0.500
0.667 0.647 0.000
0.667 0.987 0.000
0.833 0.147 0.500
0.833 0.487 0.500
0.999 0.705 0.000

***

[9]
LuZrReNi GGA-PBE optimized geometry; formation enthalpy at 0 K = -0.23 eV per atom
1.0
6.601 0.000 0.000
0.000 6.601 0.000
0.000 0.000 6.601
Lu Zr Re Ni
4 4 4 4
Direct
0.000 0.000 0.000
0.000 0.500 0.500
0.500 0.000 0.500
0.500 0.500 0.000
0.000 0.000 0.500
0.000 0.500 0.000
0.500 0.000 0.000
0.500 0.500 0.500
0.250 0.250 0.250
0.250 0.750 0.750
0.750 0.250 0.750
0.750 0.750 0.250
0.250 0.250 0.750
0.250 0.750 0.250
0.750 0.250 0.250
0.750 0.750 0.750

***

[10]
TaCr2Se GGA-PBE optimized geometry; formation energy (no corrections) = 24 kJ/mol of atoms
1.0
3.150 0.000 0.000
0.000 4.321 0.000
0.000 0.000 4.427
Ta Cr Se
1 2 1
Direct
0.000 0.000 0.000
0.000 0.500 0.500
0.500 0.000 0.500
0.500 0.500 0.000

***

[11]
Fe2CoRu GGA-PBE optimized geometry; formation enthalpy at 0 K = 0.13 eV per atom
1.0
2.871 0.000 0.000
0.000 4.207 0.000
0.000 0.000 8.226
Fe Co Ru
4 2 2
Direct
0.000 0.000 0.245
0.000 0.000 0.755
0.500 0.500 0.255
0.500 0.500 0.745
0.000 0.500 0.500
0.500 0.000 0.000
0.000 0.500 0.000
0.500 0.000 0.500

***

[12]
RuSeBr2 GGA-PBE optimized geometry; energy above the lowest structure with this stoichiometry = 0.165 eV per atom; formation energy (no corrections) = -2 kJ/mol of atoms
1.0
3.677 0.000 0.000
-1.838 3.184 0.000
0.000 0.000 25.237
Ru Se Br
3 3 6
Direct
0.000 0.000 0.000
0.333 0.667 0.667
0.667 0.333 0.333
0.000 0.000 0.289
0.333 0.667 0.955
0.667 0.333 0.622
0.000 0.000 0.525
0.000 0.000 0.730
0.333 0.667 0.192
0.333 0.667 0.397
0.667 0.333 0.064
0.667 0.333 0.859

***

Q: Which V values were calculated for the entries above? A: 177.6 424.3 231.4 192.5 232.4 124.1 401.7 284.6 287.7 60.3 99.4 295.4, in Å³ per cell.
Q: Which uncorrected energy values were calculated for the entries above? A: -54.53 -48.03 -40.47 -28.59 -88.16 -30.59 -44.93 -112.50 -128.88 -33.59 -65.59 -48.62, in eV per cell.
Q: Which DOS at the Fermi energy values were calculated for the entries above? A: 1.0 15.6 13.0 1.3 5.2 10.6 1.3 10.7 6.3 3.4 8.5 9.7, in states/eV/cell.